No. 1
# LiHRh2Pb (GGA-PBE, optimized geometry)
# Symmetry = P4/mmm (123)
# Energy = -5.001 eV per atom
# D(E_F) = 0.42 states/eV/atom
# Magnetization = 0.00 μB per cell
data_LiHRh2Pb
_cell_length_a 4.105
_cell_length_b 4.105
_cell_length_c 3.859
_cell_angle_alpha 90.00
_cell_angle_beta 90.00
_cell_angle_gamma 90.00
_symmetry_space_group_name_H-M 'P 1'
_symmetry_Int_Tables_number 1
_symmetry_space_group_name_Hall 'P 1'
loop_
_atom_site_label
_atom_site_fract_x
_atom_site_fract_y
_atom_site_fract_z
Li1 0.000 0.000 0.000
H1 0.000 0.000 0.500
Rh1 0.000 0.500 0.500
Rh2 0.500 0.000 0.500
Pb1 0.500 0.500 0.000



No. 2
# LiH6RhPb (GGA-PBE, optimized geometry)
# Symmetry = P312 (149)
# Energy = -3.755 eV per atom
# Magnetization = 0.00 μB per cell
data_LiH6RhPb
_cell_length_a 4.814
_cell_length_b 4.814
_cell_length_c 4.684
_cell_angle_alpha 90.00
_cell_angle_beta 90.00
_cell_angle_gamma 120.00
_symmetry_space_group_name_H-M 'P 1'
_symmetry_Int_Tables_number 1
_symmetry_space_group_name_Hall 'P 1'
loop_
_atom_site_label
_atom_site_fract_x
_atom_site_fract_y
_atom_site_fract_z
Li1 0.000 0.000 0.000
H1 0.067 0.378 0.212
H2 0.067 0.689 0.788
H3 0.311 0.378 0.788
H4 0.311 0.933 0.212
H5 0.622 0.689 0.212
H6 0.622 0.933 0.788
Rh1 0.333 0.667 0.000
Pb1 0.667 0.333 0.500



No. 3
# LiH6RhPb2 (GGA-PBE, optimized geometry)
# Symmetry = P-3m1 (164)
# Energy = -3.670 eV per atom
# D(E_F) = 0.07 states/eV/atom
# Magnetization = 0.00 μB per cell
data_LiH6RhPb2
_cell_length_a 5.234
_cell_length_b 5.234
_cell_length_c 5.145
_cell_angle_alpha 90.00
_cell_angle_beta 90.00
_cell_angle_gamma 120.00
_symmetry_space_group_name_H-M 'P 1'
_symmetry_Int_Tables_number 1
_symmetry_space_group_name_Hall 'P 1'
loop_
_atom_site_label
_atom_site_fract_x
_atom_site_fract_y
_atom_site_fract_z
Li1 0.000 0.000 0.000
H1 0.147 0.295 0.292
H2 0.147 0.853 0.292
H3 0.295 0.147 0.708
H4 0.705 0.853 0.292
H5 0.853 0.147 0.708
H6 0.853 0.705 0.708
Rh1 0.000 0.000 0.500
Pb1 0.333 0.667 0.724
Pb2 0.667 0.333 0.276



No. 4
# LiH6RuPb2 (GGA-PBE, optimized geometry)
# Symmetry = P-3m1 (164)
# Energy = -3.870 eV per atom
# D(E_F) = 0.29 states/eV/atom
# Magnetization = 0.00 μB per cell
data_LiH6RuPb2
_cell_length_a 5.114
_cell_length_b 5.114
_cell_length_c 5.232
_cell_angle_alpha 90.00
_cell_angle_beta 90.00
_cell_angle_gamma 120.00
_symmetry_space_group_name_H-M 'P 1'
_symmetry_Int_Tables_number 1
_symmetry_space_group_name_Hall 'P 1'
loop_
_atom_site_label
_atom_site_fract_x
_atom_site_fract_y
_atom_site_fract_z
Li1 0.000 0.000 0.000
H1 0.151 0.302 0.710
H2 0.151 0.849 0.710
H3 0.302 0.151 0.290
H4 0.698 0.849 0.710
H5 0.849 0.151 0.290
H6 0.849 0.698 0.290
Ru1 0.000 0.000 0.500
Pb1 0.333 0.667 0.278
Pb2 0.667 0.333 0.722



No. 5
# Li2SbHPb (GGA-PBE, optimized geometry)
# Symmetry = P4/mmm (123)
# Energy = -3.227 eV per atom
# D(E_F) = 0.02 states/eV/atom
# Magnetization = 0.00 μB per cell
data_Li2SbHPb
_cell_length_a 4.567
_cell_length_b 4.567
_cell_length_c 4.673
_cell_angle_alpha 90.00
_cell_angle_beta 90.00
_cell_angle_gamma 90.00
_symmetry_space_group_name_H-M 'P 1'
_symmetry_Int_Tables_number 1
_symmetry_space_group_name_Hall 'P 1'
loop_
_atom_site_label
_atom_site_fract_x
_atom_site_fract_y
_atom_site_fract_z
Li1 0.000 0.500 0.000
Li2 0.500 0.000 0.000
Sb1 0.000 0.000 0.500
H1 0.500 0.500 0.000
Pb1 0.500 0.500 0.500



No. 6
# LiSbHPb2 (GGA-PBE, optimized geometry)
# Symmetry = P4/mmm (123)
# Energy = -3.340 eV per atom
# D(E_F) = 0.31 states/eV/atom
# Magnetization = 0.00 μB per cell
data_LiSbHPb2
_cell_length_a 5.115
_cell_length_b 5.115
_cell_length_c 4.341
_cell_angle_alpha 90.00
_cell_angle_beta 90.00
_cell_angle_gamma 90.00
_symmetry_space_group_name_H-M 'P 1'
_symmetry_Int_Tables_number 1
_symmetry_space_group_name_Hall 'P 1'
loop_
_atom_site_label
_atom_site_fract_x
_atom_site_fract_y
_atom_site_fract_z
Li1 0.000 0.000 0.000
Sb1 0.500 0.500 0.000
H1 0.000 0.000 0.500
Pb1 0.000 0.500 0.500
Pb2 0.500 0.000 0.500



> The highest energy belongs to which entry?

Li2SbHPb



> The highest energy belongs to which entry?

Li2SbHPb



> Look up the energy of the first one.

-5.001 eV per atom